[1]
Crystalline LaSi2PdPt5 at its relaxed geometry. Source: Alexandria via LeMat-Bulk, functional PBE.

Total magnetic moment (μB per formula unit): 0.00
E (eV/atom): -6.29
V (A^3/atom): 19.83
Uncorrected formation energy (meV/atom): -605
Theoretical density (g/cm³): 11.883

a b c (Å): 4.1081 4.1081 10.5728
angles (deg): 90.00 90.00 90.00
With the nearest neighbours (Å) after each atom.
Space group P4/mmm (No. 123)
Asymmetric unit:
La (0.0000, 0.0000, 0.0000)  4 Pt 2.90
Si (0.5000, 0.5000, 0.2234)  5 Pt 2.35-2.36
Pd (0.0000, 0.0000, 0.5000)  8 Pt 2.72
Pt (0.0000, 0.5000, 0.3313)  2 Si 2.35
Pt (0.5000, 0.5000, 0.0000)  2 Si 2.36

[2]
Crystalline Nd2DySi2 at its relaxed geometry. Source: Alexandria via LeMat-Bulk, functional PBE.

Total magnetic moment (μB per formula unit): 0.00
E (eV/atom): -5.68
Energy relative to the lowest polymorph listed for this composition (meV/atom): 0.0
V (A^3/atom): 25.51
Uncorrected formation energy (meV/atom): -683
Theoretical density (g/cm³): 6.604

a b c (Å): 7.6228 7.6228 4.3894
angles (deg): 90.00 90.00 90.00
With the nearest neighbours (Å) after each atom.
Space group P4/mbm (No. 127)
Asymmetric unit:
Nd (0.1773, 0.3227, 0.0000)  6 Si 3.14-3.16
Dy (0.0000, 0.0000, 0.5000)  4 Si 3.07
Si (0.1140, 0.6140, 0.5000)  1 Si 2.46

[3]
Crystalline Sc3SbC at its relaxed geometry. Source: Alexandria via LeMat-Bulk, functional PBE.

Total magnetic moment (μB per formula unit): 0.79
E (eV/atom): -7.09
V (A^3/atom): 19.90
Uncorrected formation energy (meV/atom): -620
Theoretical density (g/cm³): 4.483

a b c (Å): 10.8460 4.5761 8.4117
angles (deg): 90.00 107.56 90.00
With the nearest neighbours (Å) after each atom.
Space group C2/m (No. 12)
Asymmetric unit:
Sc (0.0890, 0.0000, 0.1734)  2 C 2.27
Sc (0.1373, 0.0000, 0.6584)  1 C 2.26
Sc (0.1486, 0.5000, 0.9406)  3 C 2.30-2.32
Sb (0.0915, 0.5000, 0.3815)  6 Sc 2.88-3.20, 1 Sb 3.21
C (0.1308, 0.0000, 0.9246)  6 Sc 2.26-2.32